First-principles (PBE) data for an optimized crystal structure of DyTm3Os, as listed in Alexandria via LeMat-Bulk.

Properties
Distance to the lowest polymorph of the same formula (meV/atom): 0

Unit cell a=7.2119 b=7.2119 c=7.1915 alpha=107.14 beta=113.93 gamma=107.56
Last column: nearest neighbours and their distance in Å.
Element x y z (fractional)
Dy (0.2932, 0.9446, 0.2379)  1 Os 2.69
Os (0.3727, 0.2513, 0.6240)  3 Tm 2.68, 1 Dy 2.69
Tm (0.2422, 0.4464, 0.3006)  1 Os 2.68
Tm (0.1459, 0.9416, 0.6994)  1 Os 2.68
Dy (0.7068, 0.0554, 0.7621)  1 Os 2.69
Tm (0.8541, 0.0584, 0.3006)  1 Os 2.68
Os (0.6273, 0.7487, 0.3760)  3 Tm 2.68, 1 Dy 2.69
Tm (0.2988, 0.5570, 0.8558)  1 Os 2.68
Tm (0.7012, 0.4430, 0.1442)  1 Os 2.68
Tm (0.7578, 0.5536, 0.6994)  1 Os 2.68